[1]
The following is a GGA-PBE calculation of a geometry-optimized Sr2GaSb2 structure, from the Alexandria database.

Results
Formation energy (no corrections), meV/atom: -485.3
Density of states at the Fermi level, states/eV/f.u.: 1.4
ΔE to the lowest computed polymorph, eV per atom: 0.1810
Space group: P4/mbm (127)

abc: 9.442 9.442 3.819
angles: 90.00 90.00 90.00
Fractional positions:
Sr1 0.636 0.136 0.000
Sr2 0.136 0.364 0.000
Sr3 0.364 0.864 0.000
Sr4 0.864 0.636 0.000
Sb1 0.166 0.666 0.500
Sb2 0.834 0.334 0.500
Sb3 0.334 0.166 0.500
Sb4 0.666 0.834 0.500
Ga1 0.000 0.000 0.000
Ga2 0.500 0.500 0.000

***

[2]
The following is a GGA-PBE calculation of a geometry-optimized PaHg2I5 structure, from the Alexandria database.

Results
Formation energy (no corrections), meV/atom: -649.5
Density of states at the Fermi level, states/eV/f.u.: 2.7
ΔE to the lowest computed polymorph, eV per atom: 0.0000
Space group: C2/c (15)

abc: 6.031 7.959 20.399
angles: 89.91 90.24 112.26
Fractional positions:
I1 0.391 0.785 0.148
I2 0.886 0.776 0.648
I3 0.111 0.224 0.148
I4 0.609 0.215 0.852
I5 0.247 0.494 0.750
I6 0.114 0.224 0.352
I7 0.606 0.215 0.648
I8 0.889 0.776 0.852
I9 0.753 0.506 0.250
I10 0.394 0.785 0.352
Pa1 0.747 0.495 0.750
Pa2 0.253 0.505 0.250
Hg1 0.750 0.499 0.501
Hg2 0.750 0.499 0.999
Hg3 0.250 0.501 0.001
Hg4 0.250 0.501 0.499

***

Record order is preserved below.
Size of the total moment: 0.00 0.34 μB/f.u.